# CaYSn2

CaYSn2 after structural relaxation (PBE, Alexandria via LeMat-Bulk).

abc: 4.2809 6.2095 8.6709
angles: 90.00 90.00 90.00
Space group Pmc2_1 (No. 26)
Inequivalent atoms, fractional coordinates:
Ca  0.0000  0.1228  0.0000 [2 per cell]
Y  0.5000  0.3674  0.6354 [2 per cell]
Sn  0.0000  0.4139  0.3618 [2 per cell]
Sn  0.5000  0.1090  0.2758 [2 per cell]

Fermi-level density of states: 0.6599 states/eV per atom
E_tot: -19.11 eV per formula unit
magnetic moment: 0.000 μB/f.u.
E_form: -0.66 eV/atom